# 1
## Re2PtW (PBE)

Data for a relaxed Re2PtW crystal.

CIF file:
```
data_Re2PtW
_cell_length_a 3.317
_cell_length_b 3.317
_cell_length_c 5.657
_cell_angle_alpha 90.00
_cell_angle_beta 90.00
_cell_angle_gamma 90.00
_symmetry_space_group_name_H-M 'P 4 m m'
_symmetry_Int_Tables_number 99
loop_
_symmetry_equiv_pos_as_xyz
'x,y,z'
'-y,x,z'
'-x,-y,z'
'y,-x,z'
'-x,y,z'
'y,x,z'
'x,-y,z'
'-y,-x,z'
loop_
_atom_site_label
_atom_site_type_symbol
_atom_site_fract_x
_atom_site_fract_y
_atom_site_fract_z
Re1 Re 0.000 0.000 0.000
Re2 Re 0.500 0.500 0.236
Pt1 Pt 0.500 0.500 0.742
W1 W 0.000 0.000 0.494
```


# 2
## PrY2Cd2 (PBE)

Data for a relaxed PrY2Cd2 crystal.

CIF file:
```
data_PrY2Cd2
_cell_length_a 3.774
_cell_length_b 5.465
_cell_length_c 14.045
_cell_angle_alpha 90.00
_cell_angle_beta 97.74
_cell_angle_gamma 90.00
_symmetry_space_group_name_H-M 'P 1 21/m 1'
_symmetry_Int_Tables_number 11
loop_
_symmetry_equiv_pos_as_xyz
'x,y,z'
'-x,-y,-z'
'-x,y+1/2,-z'
'x,-y+1/2,z'
loop_
_atom_site_label
_atom_site_type_symbol
_atom_site_fract_x
_atom_site_fract_y
_atom_site_fract_z
Pr1 Pr 0.148 0.250 0.295
Y1 Y 0.047 0.750 0.094
Y2 Y 0.236 0.750 0.472
Cd1 Cd 0.358 0.250 0.717
Cd2 Cd 0.452 0.750 0.905
```


Number 1: E_form 0.166 eV/atom, distance to the lowest polymorph of the same formula 272 meV/atom, ρ 20.04 g cm⁻³. Number 2: E_form -0.265 eV/atom, distance to the lowest polymorph of the same formula 0 meV/atom, ρ 6.29 g cm⁻³.